A plane-wave DFT calculation with PBE-GGA was carried out for a relaxed structure of Ce5Pm3Se8.

Cell lengths 8.4098, 8.4098, 8.4098 Å; angles 59.85, 59.85, 59.85 degrees
Atoms (fractional coordinates):
Ce  0.0000  0.0000  0.0000
Ce  0.0000  0.5000  0.5000
Ce  0.5000  0.0000  0.5000
Ce  0.5000  0.5000  0.0000
Ce  0.5000  0.5000  0.5000
Pm  0.0000  0.0000  0.5000
Pm  0.0000  0.5000  0.0000
Pm  0.5000  0.0000  0.0000
Se  0.2494  0.7500  0.7500
Se  0.2498  0.2498  0.2498
Se  0.2500  0.2500  0.7506
Se  0.2500  0.7506  0.2500
Se  0.7500  0.2494  0.7500
Se  0.7500  0.7500  0.2494
Se  0.7502  0.7502  0.7502
Se  0.7506  0.2500  0.2500

- Formation energy (no corrections): -1.832 eV/atom
- Symmetry: No. 166
- DOS at the Fermi energy: 1.978 states/eV per atom
- Theoretical density: 7.00 g/cm³

---

A plane-wave DFT calculation with PBE-GGA was carried out for a relaxed structure of ScHgIN2.

Cell lengths 4.2975, 4.2975, 6.0695 Å; angles 90.00, 90.00, 90.00 degrees
Atoms (fractional coordinates):
Sc  0.0000  0.0000  0.0000
Hg  0.5000  0.5000  0.5000
I  0.5000  0.5000  0.0000
N  0.0000  0.5000  0.5000
N  0.5000  0.0000  0.5000

- Formation energy (no corrections): 1.515 eV/atom
- Excess energy over the best structure of this formula in the dataset: 893 meV per atom
- Symmetry: No. 123
- DOS at the Fermi energy: 0.939 states/eV per atom
- Theoretical density: 5.93 g/cm³

---

A plane-wave DFT calculation with PBE-GGA was carried out for a relaxed structure of LaScAs2.

Cell lengths 5.2004, 5.2004, 3.6015 Å; angles 98.52, 98.52, 92.71 degrees
Atoms (fractional coordinates):
La  0.0000  0.0000  0.0000
Sc  0.5000  0.5000  0.0000
As  0.0000  0.5000  0.5000
As  0.5000  0.0000  0.5000

- DFT formation energy: -1007 meV/atom
- Excess energy over the best structure of this formula in the dataset: 423 meV per atom
- Symmetry: No. 12
- DOS at the Fermi energy: 0.214 states/eV per atom
- Theoretical density: 5.83 g/cm³

---

A plane-wave DFT calculation with PBE-GGA was carried out for a relaxed structure of Ho6TmTh4.

Cell lengths 18.1422, 18.1422, 18.1422 Å; angles 169.21, 161.57, 21.40 degrees
Atoms (fractional coordinates):
Ho  0.0952  0.0952  0.0000
Ho  0.2671  0.2671  0.0000
Ho  0.3689  0.3689  0.0000
Ho  0.6311  0.6311  0.0000
Ho  0.7329  0.7329  0.0000
Ho  0.9048  0.9048  0.0000
Tm  0.0000  0.5000  0.5000
Th  0.1818  0.6818  0.5000
Th  0.4562  0.9562  0.5000
Th  0.5438  0.0438  0.5000
Th  0.8182  0.3182  0.5000

- DFT formation energy: 161 meV/atom
- Excess energy over the best structure of this formula in the dataset: 0 meV per atom
- Symmetry: No. 71
- DOS at the Fermi energy: 1.374 states/eV per atom
- Theoretical density: 9.81 g/cm³

---

A plane-wave DFT calculation with PBE-GGA was carried out for a relaxed structure of Ba2LaOs.

Cell lengths 8.2585, 8.2585, 4.5675 Å; angles 90.00, 90.00, 142.11 degrees
Atoms (fractional coordinates):
Ba  0.1396  0.8604  0.0000
Ba  0.8604  0.1396  0.0000
La  0.5000  0.5000  0.5000
Os  0.0000  0.0000  0.5000

- DFT formation energy: 278 meV/atom
- Excess energy over the best structure of this formula in the dataset: 85 meV per atom
- Symmetry: No. 65
- DOS at the Fermi energy: 1.163 states/eV per atom
- Theoretical density: 5.24 g/cm³

---

A plane-wave DFT calculation with PBE-GGA was carried out for a relaxed structure of Hf3Co8Os.

Cell lengths 8.3683, 8.3683, 8.3683 Å; angles 33.53, 33.53, 33.53 degrees
Atoms (fractional coordinates):
Hf  0.0000  0.0000  0.0000
Hf  0.1303  0.1303  0.1303
Hf  0.6155  0.6155  0.6155
Co  0.0611  0.0611  0.5624
Co  0.0611  0.5624  0.0611
Co  0.0623  0.5625  0.5625
Co  0.3120  0.3120  0.3120
Co  0.5624  0.0611  0.0611
Co  0.5625  0.0623  0.5625
Co  0.5625  0.5625  0.0623
Co  0.8116  0.8116  0.8116
Os  0.4954  0.4954  0.4954

- DFT formation energy: -266 meV/atom
- Symmetry: No. 160
- DOS at the Fermi energy: 1.410 states/eV per atom
- Theoretical density: 12.48 g/cm³

---

A plane-wave DFT calculation with PBE-GGA was carried out for a relaxed structure of Pr4Hg5Pt2.

Cell lengths 7.8682, 3.8187, 9.7833 Å; angles 90.00, 94.32, 90.00 degrees
Atoms (fractional coordinates):
Pr  0.1805  0.0000  0.3561
Pr  0.2309  0.0000  0.9374
Pr  0.7691  0.0000  0.0626
Pr  0.8195  0.0000  0.6439
Hg  0.1696  0.5000  0.6436
Hg  0.4554  0.5000  0.1767
Hg  0.5000  0.5000  0.5000
Hg  0.5446  0.5000  0.8233
Hg  0.8304  0.5000  0.3564
Pt  0.0742  0.5000  0.1362
Pt  0.9258  0.5000  0.8638

- DFT formation energy: -658 meV/atom
- Symmetry: No. 10
- DOS at the Fermi energy: 0.786 states/eV per atom
- Theoretical density: 11.09 g/cm³

---

A plane-wave DFT calculation with PBE-GGA was carried out for a relaxed structure of ReTeBr2.

Cell lengths 5.6294, 5.6294, 3.2144 Å; angles 90.00, 90.00, 111.07 degrees
Atoms (fractional coordinates):
Re  0.0000  0.0000  0.0000
Te  0.5000  0.5000  0.0000
Br  0.0000  0.5000  0.5000
Br  0.5000  0.0000  0.5000

- Formation energy (no corrections): 1.384 eV/atom
- Excess energy over the best structure of this formula in the dataset: 1234 meV per atom
- Symmetry: No. 65
- DOS at the Fermi energy: 1.079 states/eV per atom
- Theoretical density: 8.27 g/cm³

---

> Which of these has the highest theoretical density?

Hf3Co8Os

---

> Which value of theoretical density does entry 1 give?

7.00 g/cm³

---

> Which value of DOS at the Fermi energy does entry 8 give?

1.079 states/eV per atom